1.
NaCo3N: relaxed, GGA-PBE.

Cell lengths 3.8544, 3.8544, 3.8544 Å; angles 90.00, 90.00, 90.00 degrees
Closest atoms and distances in Å follow each position.
Atoms (fractional coordinates):
Na  0.5000  0.5000  0.5000  12 Co 2.73
Co  0.0000  0.5000  0.0000  2 N 1.93
Co  0.0000  0.0000  0.5000  2 N 1.93
Co  0.5000  0.0000  0.0000  2 N 1.93
N  0.0000  0.0000  0.0000  6 Co 1.93

Properties
Space-group type: Pm-3m
Fermi-level density of states, states/eV per cell: 7.9
Polymorph energy (0 for the lowest one), eV/atom: 0.000
Total moment, μB/f.u.: 4.17

=====

2.
NaCo2N: relaxed, GGA-PBE.

Cell lengths 6.1874, 6.1874, 5.2471 Å; angles 53.87, 53.87, 90.00 degrees
Closest atoms and distances in Å follow each position.
Atoms (fractional coordinates):
Na  0.0000  0.0000  0.0000  4 Co 2.71, 2 N 2.90
Na  0.7500  0.2500  0.5000  4 Co 2.71, 2 N 2.90
Co  0.2953  0.1250  0.2500  2 N 1.78
Co  0.4547  0.6250  0.2500  2 N 1.78
Co  0.3750  0.7047  0.7500  2 N 1.78
Co  0.8750  0.5453  0.7500  2 N 1.78
N  0.5000  0.5000  0.0000  4 Co 1.78
N  0.2500  0.7500  0.5000  4 Co 1.78

Properties
Space-group type: I-42d
Fermi-level density of states, states/eV per cell: 1.8
DFT total energy, Ha/atom: -0.2109
Total moment, μB/f.u.: 0.00

=====

3.
Na3CoN2: relaxed, GGA-PBE.

Cell lengths 5.5041, 5.5041, 6.1108 Å; angles 90.00, 90.00, 100.27 degrees
Closest atoms and distances in Å follow each position.
Atoms (fractional coordinates):
Na  0.7397  0.7397  0.7500  3 N 2.39-2.49
Na  0.2603  0.2603  0.2500  3 N 2.39-2.49
Na  0.2890  0.7110  0.5000  3 N 2.44-2.48
Na  0.2890  0.7110  0.0000  3 N 2.44-2.48
Na  0.7110  0.2890  0.5000  3 N 2.44-2.48
Na  0.7110  0.2890  0.0000  3 N 2.44-2.48
Co  0.8601  0.8601  0.2500  3 N 1.74-1.82
Co  0.1399  0.1399  0.7500  3 N 1.74-1.82
N  0.6133  0.6133  0.2500  1 Co 1.74
N  0.3867  0.3867  0.7500  1 Co 1.74
N  0.0000  0.0000  0.5000  2 Co 1.82
N  0.0000  0.0000  0.0000  2 Co 1.82

Properties
Space-group type: Cmcm
Fermi-level density of states, states/eV per cell: 6.3
Polymorph energy (0 for the lowest one), eV/atom: 0.000
Total moment, μB/f.u.: 1.71

=====

4.
Na3Co2N2: relaxed, GGA-PBE.

Cell lengths 3.2950, 5.3995, 6.4826 Å; angles 73.06, 81.70, 82.44 degrees
Closest atoms and distances in Å follow each position.
Atoms (fractional coordinates):
Na  0.5000  0.0000  0.0000  2 N 2.53
Na  0.8108  0.7568  0.4597  2 N 2.48-2.54
Na  0.1892  0.2432  0.5403  2 N 2.48-2.54
Co  0.7247  0.4469  0.1333  3 N 1.82-1.97
Co  0.2753  0.5531  0.8667  3 N 1.82-1.97
N  0.8137  0.4266  0.8308  3 Co 1.82-1.97
N  0.1863  0.5734  0.1692  3 Co 1.82-1.97

Properties
Space-group type: P-1
Fermi-level density of states, states/eV per cell: 4.2
DFT total energy, Ha/atom: -0.1808
Total moment, μB/f.u.: 0.00

=====

5.
Na3CoN2: relaxed, GGA-PBE.

Cell lengths 8.3826, 8.3826, 8.3826 Å; angles 123.47, 123.47, 84.08 degrees
Closest atoms and distances in Å follow each position.
Atoms (fractional coordinates):
Na  0.8588  0.3588  0.5000  2 N 2.47, 1 Na 2.71
Na  0.8912  0.8912  0.0000  2 N 2.47, 1 Na 2.71
Na  0.6412  0.1412  0.5000  2 N 2.47, 1 Na 2.71
Na  0.1088  0.1088  0.0000  2 N 2.47, 1 Na 2.71
Na  0.4490  0.5510  0.5000  2 N 2.48
Na  0.0510  0.9490  0.5000  2 N 2.48
Na  0.6990  0.3010  0.0000  2 N 2.48
Na  0.3010  0.6990  0.0000  2 N 2.48
Na  0.4490  0.9490  0.8980  2 N 2.48
Na  0.0510  0.5510  0.1020  2 N 2.48
Na  0.6990  0.6990  0.3980  2 N 2.48
Na  0.3010  0.3010  0.6020  2 N 2.48
Co  0.0842  0.5842  0.5000  2 N 1.65
Co  0.6658  0.6658  0.0000  2 N 1.65
Co  0.4158  0.9158  0.5000  2 N 1.65
Co  0.3342  0.3342  0.0000  2 N 1.65
N  0.0531  0.7550  0.7020  1 Co 1.65
N  0.0531  0.3511  0.2980  1 Co 1.65
N  0.6969  0.8989  0.2020  1 Co 1.65
N  0.6969  0.4950  0.7980  1 Co 1.65
N  0.2450  0.9469  0.2980  1 Co 1.65
N  0.6489  0.9469  0.7020  1 Co 1.65
N  0.1011  0.3031  0.7980  1 Co 1.65
N  0.5050  0.3031  0.2020  1 Co 1.65

Properties
Space-group type: I4_1/amd
Fermi-level density of states, states/eV per cell: 3.3
Polymorph energy (0 for the lowest one), eV/atom: 0.042
Total moment, μB/f.u.: 0.00

=====

6.
NaCo2N2: relaxed, GGA-PBE.

Cell lengths 3.6100, 3.6100, 4.8475 Å; angles 68.14, 68.14, 90.00 degrees
Closest atoms and distances in Å follow each position.
Atoms (fractional coordinates):
Na  0.0000  0.0000  0.0000  10 Co 2.70-2.92, 8 N 2.74
Co  0.3281  0.3281  0.3438  4 N 1.92
Co  0.6719  0.6719  0.6562  4 N 1.92
N  0.7500  0.2500  0.5000  4 Co 1.92
N  0.2500  0.7500  0.5000  4 Co 1.92

Properties
Space-group type: I4/mmm
Fermi-level density of states, states/eV per cell: 4.6
DFT total energy, Ha/atom: -0.2240
Total moment, μB/f.u.: 0.81

=====

7.
NaCo3N: relaxed, GGA-PBE.

Cell lengths 4.3487, 4.3487, 4.3487 Å; angles 90.00, 90.00, 90.00 degrees
Closest atoms and distances in Å follow each position.
Atoms (fractional coordinates):
Na  0.0000  0.0000  0.0000  6 Co 2.17
Co  0.0000  0.5000  0.0000  2 Na 2.17
Co  0.0000  0.0000  0.5000  2 Na 2.17
Co  0.5000  0.0000  0.0000  2 Na 2.17
N  0.5000  0.5000  0.5000  12 Co 3.08

Properties
Space-group type: Pm-3m
Fermi-level density of states, states/eV per cell: 10.4
Polymorph energy (0 for the lowest one), eV/atom: 2.684
Total moment, μB/f.u.: 6.23

=====

8.
Na5Co4N4: relaxed, GGA-PBE.

Cell lengths 3.1395, 7.6793, 7.6793 Å; angles 87.61, 78.20, 78.20 degrees
Closest atoms and distances in Å follow each position.
Atoms (fractional coordinates):
Na  0.7038  0.9313  0.6612  2 N 2.53
Na  0.2962  0.0687  0.3388  2 N 2.53
Na  0.0000  0.0000  0.0000  10 Na 3.04-3.14, 4 N 3.29
Na  0.6351  0.6612  0.0687  2 N 2.53
Na  0.3649  0.3388  0.9313  2 N 2.53
Co  0.8903  0.5413  0.6781  3 N 1.87-1.90
Co  0.5684  0.3219  0.5413  3 N 1.87-1.90
Co  0.1097  0.4587  0.3219  3 N 1.87-1.90
Co  0.4316  0.6781  0.4587  3 N 1.87-1.90
N  0.6916  0.3285  0.2884  3 Co 1.87-1.90
N  0.3084  0.6715  0.7116  3 Co 1.87-1.90
N  0.9799  0.7116  0.3285  3 Co 1.87-1.90
N  0.0201  0.2884  0.6715  3 Co 1.87-1.90

Properties
Space-group type: I4/m
Fermi-level density of states, states/eV per cell: 9.5
DFT total energy, Ha/atom: -0.1889
Total moment, μB/f.u.: 0.00

=====

9.
NaCo2N3: relaxed, GGA-PBE.

Cell lengths 4.6763, 6.1737, 5.8979 Å; angles 121.56, 90.00, 90.00 degrees
Closest atoms and distances in Å follow each position.
Atoms (fractional coordinates):
Na  0.7500  0.2661  0.5322  8 N 2.87-3.08, 4 Co 3.15
Na  0.2500  0.7339  0.4678  8 N 2.87-3.08, 4 Co 3.15
Co  0.5000  0.1935  0.0000  4 N 1.89-1.91
Co  0.5000  0.8065  0.0000  4 N 1.89-1.91
Co  0.0000  0.8065  0.0000  4 N 1.89-1.91
Co  0.0000  0.1935  0.0000  4 N 1.89-1.91
N  0.2500  0.5204  0.8372  1 N 1.26
N  0.7500  0.4796  0.1628  1 N 1.26
N  0.7500  0.6832  0.1628  1 N 1.26
N  0.2500  0.3168  0.8372  1 N 1.26
N  0.2500  0.0870  0.1740  4 Co 1.89
N  0.7500  0.9130  0.8260  4 Co 1.89

Properties
Space-group type: Cmcm
Fermi-level density of states, states/eV per cell: 7.3
DFT total energy, Ha/atom: -0.2457
Total moment, μB/f.u.: 0.00

=====

10.
NaNb2CoN: relaxed, GGA-PBE.

Cell lengths 5.0204, 3.3897, 5.0204 Å; angles 90.00, 90.00, 90.00 degrees
Closest atoms and distances in Å follow each position.
Atoms (fractional coordinates):
Na  0.5000  0.5000  0.5000  8 Nb 3.03, 2 Na 3.39
Nb  0.0000  0.0000  0.5000  2 Co 2.51
Nb  0.5000  0.0000  0.0000  2 Co 2.51
Co  0.0000  0.0000  0.0000  2 N 1.69
N  0.0000  0.5000  0.0000  2 Co 1.69

Properties
Space-group type: P4/mmm
Fermi-level density of states, states/eV per cell: 6.3
DFT total energy, Ha/atom: -0.2301
Total moment, μB/f.u.: 0.00

=====

11.
NaNpCoN3: relaxed, GGA-PBE.

Cell lengths 3.4418, 6.8536, 8.0051 Å; angles 101.48, 90.00, 90.00 degrees
Closest atoms and distances in Å follow each position.
Atoms (fractional coordinates):
Na  0.7500  0.8298  0.8252  5 N 2.61-2.72
Na  0.2500  0.1702  0.1748  5 N 2.61-2.72
Np  0.2500  0.6646  0.1594  6 N 2.18-2.27
Np  0.7500  0.3354  0.8406  6 N 2.18-2.27
Co  0.2500  0.0565  0.6024  4 N 1.84-1.91
Co  0.7500  0.9435  0.3976  4 N 1.84-1.91
N  0.2500  0.8388  0.4260  3 Co 1.84-1.90
N  0.7500  0.8593  0.1552  1 Co 1.91
N  0.7500  0.4570  0.1262  3 Np 2.21-2.27
N  0.7500  0.1612  0.5740  3 Co 1.84-1.90
N  0.2500  0.5430  0.8738  3 Np 2.21-2.27
N  0.2500  0.1407  0.8448  1 Co 1.91

Properties
Space-group type: P2_1/m
Fermi-level density of states, states/eV per cell: 10.3
DFT total energy, Ha/atom: -0.3018
Total moment, μB/f.u.: 2.13

=====

12.
Na3Np3CoN8: relaxed, GGA-PBE.

Cell lengths 6.6108, 6.6437, 6.7986 Å; angles 118.99, 90.00, 119.84 degrees
Closest atoms and distances in Å follow each position.
Atoms (fractional coordinates):
Na  0.0000  0.0000  0.0000  6 N 2.58-2.66
Na  0.0000  0.5000  0.0000  6 N 2.60-2.66
Na  0.5000  0.5000  0.0000  6 N 2.60-2.66
Np  0.5000  0.0000  0.5000  6 N 2.13-2.24
Np  0.5000  0.5000  0.5000  6 N 2.15-2.18
Np  0.0000  0.5000  0.5000  6 N 2.15-2.18
Co  0.0000  0.0000  0.5000  6 N 2.15
N  0.2666  0.5332  0.3092  3 Np 2.17-2.24
N  0.7334  0.4668  0.6908  3 Np 2.17-2.24
N  0.7767  0.5535  0.3265  1 Co 2.15, 2 Np 2.15
N  0.2233  0.4465  0.6735  1 Co 2.15, 2 Np 2.15
N  0.7724  0.0475  0.3256  2 Np 2.13-2.18, 1 Co 2.15
N  0.2276  0.9525  0.6744  2 Np 2.13-2.18, 1 Co 2.15
N  0.2750  0.0475  0.3256  2 Np 2.13-2.18, 1 Co 2.15
N  0.7250  0.9525  0.6744  2 Np 2.13-2.18, 1 Co 2.15

Properties
Space-group type: C2/m
Fermi-level density of states, states/eV per cell: 10.8
DFT total energy, Ha/atom: -0.3035
Total moment, μB/f.u.: 3.03

=====

Which of these has the highest total moment? number 7

=====

Which of these has the lowest Fermi-level density of states? NaCo2N